First-principles (GGA-PBE) data for crystalline Cr5Ga at its relaxed geometry, as listed in Alexandria via LeMat-Bulk.

Values from the calculation:
The size of the total moment is 0.46 μB per atom. For the formation energy, the calculation gives 0.006 eV per atom.

CIF file:
```
data_Cr5Ga
_symmetry_space_group_name_H-M 'C m m m'
_symmetry_Int_Tables_number 65
_symmetry_space_group_name_Hall '-C 2 2'
_cell_length_a 4.133
_cell_length_b 12.339
_cell_length_c 2.949
_cell_angle_alpha 90.00
_cell_angle_beta 90.00
_cell_angle_gamma 90.00
loop_
_atom_site_label
_atom_site_fract_x
_atom_site_fract_y
_atom_site_fract_z
Cr1 0.000 0.000 0.000
Cr2 0.000 0.165 0.500
Cr3 0.000 0.327 0.000
Ga1 0.000 0.500 0.500
```